No. 1
Computed, not measured: a relaxed structure of Y3ErOs at the GGA-PBE level of DFT.

a = 11.7111 Å, b = 8.6470 Å, c = 7.9832 Å
α = 90.00°, β = 132.84°, γ = 90.00°
Space group C2/m (No. 12)
Symmetry-distinct sites (fractional):
Y1 0.0543 0.0000 0.3496 (multiplicity 4)
Y2 0.2465 0.3051 0.7925 (multiplicity 8)
Er1 0.0555 0.5000 0.2552 (multiplicity 4)
Os1 0.2480 0.5000 0.1257 (multiplicity 4)

**Calculated volume**: 148.2 Å³/f.u.
**E_form**: -0.741 eV per formula unit
**Energy**: -7.19 eV per atom
**Fermi-level density of states**: 1.101 states/eV per atom

---

No. 2
Computed, not measured: a relaxed structure of YEr3Os at the GGA-PBE level of DFT.

a = 7.6489 Å, b = 6.3888 Å, c = 6.1838 Å
α = 90.00°, β = 90.00°, γ = 90.00°
Space group Pmn2_1 (No. 31)
Symmetry-distinct sites (fractional):
Y1 0.0000 0.1558 0.0000 (multiplicity 2)
Er1 0.0000 0.8418 0.4938 (multiplicity 2)
Er2 0.2494 0.3202 0.4976 (multiplicity 4)
Os1 0.0000 0.5025 0.7467 (multiplicity 2)

**Calculated volume**: 151.1 Å³/f.u.
**E_form**: -0.407 eV per formula unit
**Energy**: -6.36 eV per atom
**Fermi-level density of states**: 1.043 states/eV per atom
**Energy relative to the lowest polymorph listed for this composition**: 0 meV/atom

---

No. 3
Computed, not measured: a relaxed structure of YErOs at the GGA-PBE level of DFT.

a = 6.7323 Å, b = 6.7857 Å, c = 8.5061 Å
α = 90.00°, β = 129.14°, γ = 90.00°
Space group P2_1/c (No. 14)
Symmetry-distinct sites (fractional):
Y1 0.2361 0.1724 0.3008 (multiplicity 4)
Er1 0.2657 0.6715 0.2000 (multiplicity 4)
Os1 0.2571 0.5042 0.5022 (multiplicity 4)

**Calculated volume**: 75.3 Å³/f.u.
**E_form**: -0.341 eV per formula unit
**Energy**: -7.53 eV per atom
**Fermi-level density of states**: 0.377 states/eV per atom
**Energy relative to the lowest polymorph listed for this composition**: 129 meV/atom

---

No. 4
Computed, not measured: a relaxed structure of YErOs at the GGA-PBE level of DFT.

a = 6.7425 Å, b = 6.7425 Å, c = 6.7425 Å
α = 90.00°, β = 90.00°, γ = 90.00°
Space group F-43m (No. 216)
Symmetry-distinct sites (fractional):
Y1 0.0000 0.0000 0.0000 (multiplicity 4)
Er1 0.0000 0.0000 0.5000 (multiplicity 4)
Os1 0.2500 0.2500 0.7500 (multiplicity 4)

**Calculated volume**: 76.6 Å³/f.u.
**E_form**: -0.617 eV per formula unit
**Energy**: -7.62 eV per atom
**Fermi-level density of states**: 0.443 states/eV per atom
**Energy relative to the lowest polymorph listed for this composition**: 37 meV/atom

---

No. 5
Computed, not measured: a relaxed structure of Y2ErOs at the GGA-PBE level of DFT.

a = 3.4322 Å, b = 3.4322 Å, c = 32.5025 Å
α = 90.00°, β = 90.00°, γ = 120.00°
Space group R-3m (No. 166, hexagonal axes)
Symmetry-distinct sites (fractional):
Y1 0.0000 0.0000 0.1045 (multiplicity 6)
Er1 0.0000 0.0000 0.0000 (multiplicity 3)
Os1 0.0000 0.0000 0.5000 (multiplicity 3)

**Calculated volume**: 110.5 Å³/f.u.
**E_form**: 1.233 eV per formula unit
**Energy**: -6.87 eV per atom
**Fermi-level density of states**: 1.602 states/eV per atom
**Energy relative to the lowest polymorph listed for this composition**: 563 meV/atom

---

No. 6
Computed, not measured: a relaxed structure of Y2ErOs at the GGA-PBE level of DFT.

a = 3.4041 Å, b = 3.4041 Å, c = 9.2170 Å
α = 90.00°, β = 90.00°, γ = 90.00°
Space group P4/mmm (No. 123)
Symmetry-distinct sites (fractional):
Y1 0.0000 0.0000 0.1814 (multiplicity 2)
Er1 0.5000 0.5000 0.5000 (multiplicity 1)
Os1 0.5000 0.5000 0.0000 (multiplicity 1)

**Calculated volume**: 106.8 Å³/f.u.
**E_form**: -0.274 eV per formula unit
**Energy**: -7.25 eV per atom
**Fermi-level density of states**: 1.086 states/eV per atom
**Energy relative to the lowest polymorph listed for this composition**: 186 meV/atom

---

No. 7
Computed, not measured: a relaxed structure of Y3Er2Os2 at the GGA-PBE level of DFT.

a = 11.9856 Å, b = 3.9523 Å, c = 8.2249 Å
α = 90.00°, β = 112.06°, γ = 90.00°
Space group C2/m (No. 12)
Symmetry-distinct sites (fractional):
Y1 0.0000 0.0000 0.0000 (multiplicity 2)
Y2 0.1248 0.0000 0.4327 (multiplicity 4)
Er1 0.1682 0.5000 0.8198 (multiplicity 4)
Os1 0.1789 0.5000 0.2127 (multiplicity 4)

**Calculated volume**: 180.5 Å³/f.u.
**E_form**: -1.647 eV per formula unit
**Energy**: -7.52 eV per atom
**Fermi-level density of states**: 0.711 states/eV per atom

---

No. 8
Computed, not measured: a relaxed structure of YEr3Os at the GGA-PBE level of DFT.

a = 17.1986 Å, b = 3.5682 Å, c = 9.4972 Å
α = 90.00°, β = 105.95°, γ = 90.00°
Space group C2/m (No. 12)
Symmetry-distinct sites (fractional):
Y1 0.1928 0.0000 0.3094 (multiplicity 4)
Er1 0.0013 0.5000 0.1755 (multiplicity 4)
Er2 0.0982 0.5000 0.5417 (multiplicity 4)
Er3 0.1854 0.0000 0.8708 (multiplicity 4)
Os1 0.1371 0.5000 0.0642 (multiplicity 4)

**Calculated volume**: 140.1 Å³/f.u.
**E_form**: 0.053 eV per formula unit
**Energy**: -6.27 eV per atom
**Fermi-level density of states**: 1.285 states/eV per atom
**Energy relative to the lowest polymorph listed for this composition**: 92 meV/atom

---

No. 9
Computed, not measured: a relaxed structure of YErOs at the GGA-PBE level of DFT.

a = 3.3898 Å, b = 3.3898 Å, c = 13.0710 Å
α = 90.00°, β = 90.00°, γ = 90.00°
Space group I4mm (No. 107)
Symmetry-distinct sites (fractional):
Y1 0.0000 0.0000 0.0000 (multiplicity 2)
Er1 0.0000 0.0000 0.2520 (multiplicity 2)
Os1 0.0000 0.0000 0.6285 (multiplicity 2)

**Calculated volume**: 75.1 Å³/f.u.
**E_form**: -0.728 eV per formula unit
**Energy**: -7.66 eV per atom
**Fermi-level density of states**: 0.459 states/eV per atom
**Energy relative to the lowest polymorph listed for this composition**: 0 meV/atom

---

No. 10
Computed, not measured: a relaxed structure of Y2ErOs at the GGA-PBE level of DFT.

a = 3.9729 Å, b = 11.8505 Å, c = 9.0359 Å
α = 90.00°, β = 90.00°, γ = 90.00°
Space group Cmcm (No. 63)
Symmetry-distinct sites (fractional):
Y1 0.0000 0.1434 0.0657 (multiplicity 8)
Er1 0.0000 0.4234 0.2500 (multiplicity 4)
Os1 0.0000 0.2405 0.7500 (multiplicity 4)

**Calculated volume**: 106.4 Å³/f.u.
**E_form**: -0.929 eV per formula unit
**Energy**: -7.41 eV per atom
**Fermi-level density of states**: 0.793 states/eV per atom
**Energy relative to the lowest polymorph listed for this composition**: 22 meV/atom

---

No. 11
Computed, not measured: a relaxed structure of Er6ZnOs2 at the GGA-PBE level of DFT.

a = 9.2003 Å, b = 9.3346 Å, c = 10.3881 Å
α = 90.00°, β = 90.00°, γ = 90.00°
Space group Immm (No. 71)
Symmetry-distinct sites (fractional):
Er1 0.0000 0.1843 0.1679 (multiplicity 8)
Er2 0.1813 0.2216 0.5000 (multiplicity 8)
Er3 0.1982 0.5000 0.2539 (multiplicity 8)
Zn1 0.0000 0.5000 0.0000 (multiplicity 2)
Zn2 0.0000 0.5000 0.5000 (multiplicity 2)
Os1 0.0000 0.0000 0.3763 (multiplicity 4)
Os2 0.1841 0.0000 0.0000 (multiplicity 4)

**Calculated volume**: 223.0 Å³/f.u.
**E_form**: -2.459 eV per formula unit
**Energy**: -5.95 eV per atom
**Fermi-level density of states**: 0.953 states/eV per atom

---

No. 12
Computed, not measured: a relaxed structure of Er3ZnOs at the GGA-PBE level of DFT.

a = 14.7183 Å, b = 10.9921 Å, c = 6.4193 Å
α = 90.00°, β = 100.00°, γ = 90.00°
Space group C2/c (No. 15)
Symmetry-distinct sites (fractional):
Er1 0.0698 0.2001 0.0307 (multiplicity 8)
Er2 0.1091 0.4419 0.6229 (multiplicity 8)
Er3 0.1509 0.0910 0.5562 (multiplicity 8)
Zn1 0.2376 0.3624 0.0030 (multiplicity 8)
Os1 0.0000 0.0018 0.7500 (multiplicity 4)
Os2 0.0000 0.3799 0.2500 (multiplicity 4)

**Calculated volume**: 127.8 Å³/f.u.
**E_form**: -1.043 eV per formula unit
**Energy**: -5.45 eV per atom
**Fermi-level density of states**: 0.545 states/eV per atom
**Energy relative to the lowest polymorph listed for this composition**: 115 meV/atom